BeHgOs after structural relaxation. Source: the Alexandria database, functional GGA-PBE.

Cell lengths 4.0081, 4.0081, 4.0081 Å; angles 60.00, 60.00, 60.00 degrees
With the nearest neighbours (Å) after each atom.
Fractional coordinates of all 3 atoms:
Be (0.2500, 0.2500, 0.2500)  4 Hg 2.45, 4 Os 2.45
Hg (0.0000, 0.0000, 0.0000)  4 Be 2.45
Os (0.5000, 0.5000, 0.5000)  4 Be 2.45

Values from the calculation:
Energy above the lowest structure with this stoichiometry (kJ/mol of formula units): 76
SG: No. 216
Energy (eV per formula unit): -13.18
DOS(E_F) (states/eV/cell): 2.071

=====

BeHgOs after structural relaxation. Source: the Alexandria database, functional GGA-PBE.

Cell lengths 5.4202, 5.4202, 5.4202 Å; angles 148.05, 148.05, 45.81 degrees
With the nearest neighbours (Å) after each atom.
Fractional coordinates of all 3 atoms:
Os (0.6283, 0.6283, 0.0000)  4 Be 2.31
Hg (0.3367, 0.3367, 0.0000)  5 Be 2.89-3.01, 5 Os 2.91-2.96, 4 Hg 2.98
Be (0.0350, 0.0350, 0.0000)  4 Os 2.31

Values from the calculation:
Energy above the lowest structure with this stoichiometry (kJ/mol of formula units): 0
SG: No. 107
Energy (eV per formula unit): -13.97
DOS(E_F) (states/eV/cell): 1.903

=====

BeHgOs after structural relaxation. Source: the Alexandria database, functional GGA-PBE.

Cell lengths 6.8178, 6.5596, 2.8145 Å; angles 83.05, 72.76, 24.19 degrees
With the nearest neighbours (Å) after each atom.
Fractional coordinates of all 3 atoms:
Hg (0.3434, 0.3434, 0.6566)  2 Be 2.63, 4 Hg 2.81
Be (0.0132, 0.0132, 0.9868)  2 Os 2.24
Os (0.6434, 0.6434, 0.3566)  2 Be 2.24

Values from the calculation:
Energy above the lowest structure with this stoichiometry (kJ/mol of formula units): 44
SG: No. 42
Energy (eV per formula unit): -13.52
DOS(E_F) (states/eV/cell): 2.493

=====

Be2HgOs after structural relaxation. Source: the Alexandria database, functional GGA-PBE.

Cell lengths 4.3076, 4.3076, 4.7092 Å; angles 80.14, 80.14, 42.03 degrees
With the nearest neighbours (Å) after each atom.
Fractional coordinates of all 4 atoms:
Be (0.5351, 0.5351, 0.3733)  2 Be 2.07, 2 Os 2.31
Be (0.9649, 0.9649, 0.1267)  2 Be 2.07, 2 Os 2.31
Os (0.2500, 0.2500, 0.2500)  6 Be 2.31-2.47
Hg (0.7500, 0.7500, 0.7500)  2 Be 2.69, 4 Os 2.82

Values from the calculation:
SG: No. 12
Energy (eV per formula unit): -17.73
DOS(E_F) (states/eV/cell): 1.827

=====

no.,E_form (eV per atom)
1,0.69
2,0.43
3,0.58
4,0.31